VASP calculation (GGA-PBE) on YTeRh2 after structural relaxation.

The structure in POSCAR format:
```
YTeRh2
1.0
3.7917 0.0000 0.0000
0.0000 3.7998 0.0000
0.0000 0.0000 5.5661
Y Rh Te
1 2 1
Direct
0.5000 0.5000 0.7932
0.5000 0.5000 0.2925
0.0000 0.0000 0.9716
0.0000 0.0000 0.4426
```

Results
For the total magnetic moment, the calculation gives 0.0 μB per cell. The value obtained for the formation energy from raw total energies is -0.496 eV per atom.

VASP calculation (GGA-PBE) on MgTlCr2 after structural relaxation.

The structure in POSCAR format:
```
MgTlCr2
1.0
4.7185 -0.0052 0.0000
0.1523 4.7161 0.0000
-2.4354 -2.3554 3.2841
Cr Tl Mg
2 1 1
Direct
0.0000 0.0000 0.0000
0.2500 0.7500 0.5000
0.7500 0.2500 0.5000
0.5000 0.5000 0.0000
```

Results
For the total magnetic moment, the calculation gives 0.0 μB per cell. The energy of formation from the pure elements comes out at 425 meV/atom.

VASP calculation (GGA-PBE) on NdPaCu2 after structural relaxation.

The structure in POSCAR format:
```
NdPaCu2
1.0
-0.1295 -3.0895 -0.9333
3.1657 -0.3034 0.5649
-1.5639 -2.2212 7.5704
Cu Nd Pa
2 1 1
Direct
0.0000 0.0000 0.2378
0.0000 0.0000 0.7622
0.5000 0.5000 0.5000
0.5000 0.5000 0.0000
```

Results
For the total magnetic moment, the calculation gives 0.0 μB per cell. The energy of formation from the pure elements comes out at 65 meV/atom.

VASP calculation (GGA-PBE) on BaMg7 after structural relaxation.

The structure in POSCAR format:
```
BaMg7
1.0
5.8436 0.7437 3.5204
0.4871 -2.4398 6.3956
3.9437 -5.4644 1.2968
Mg Ba
7 1
Direct
0.5000 0.5000 0.5000
0.0000 0.5000 0.0000
0.5000 0.5000 0.0000
0.5000 0.0000 0.0000
0.5000 0.0000 0.5000
0.0000 0.5000 0.5000
0.0000 0.0000 0.5000
0.0000 0.0000 0.0000
```

Results
For the total magnetic moment, the calculation gives 0.5 μB per cell. The energy of formation from the pure elements comes out at 165 meV/atom.

VASP calculation (GGA-PBE) on PrZnPtPb after structural relaxation.

The structure in POSCAR format:
```
PrZnPtPb
1.0
5.0333 0.0000 0.0000
2.5167 4.3590 0.0000
2.5167 1.4530 4.1097
Pb Pr Pt Zn
1 1 1 1
Direct
0.7500 0.7500 0.7500
0.2500 0.2500 0.2500
0.0000 0.0000 0.0000
0.5000 0.5000 0.5000
```

Results
For the total magnetic moment, the calculation gives 0.0 μB per cell. The energy of formation from the pure elements comes out at -523 meV/atom.

VASP calculation (GGA-PBE) on Li4Np3ReN8 after structural relaxation.

The structure in POSCAR format:
```
Li4Np3ReN8
1.0
6.6128 0.0000 0.0000
0.0000 6.3710 -0.1727
-3.3064 -3.3063 4.6746
Np N Re Li
3 8 1 4
Direct
0.5000 0.5000 0.0000
0.0000 0.5000 0.5000
0.5000 0.5000 0.5000
0.7389 0.7165 0.4778
0.2308 0.7140 0.4615
0.2307 0.7140 0.9835
0.7693 0.2860 0.0165
0.2472 0.2860 0.0165
0.2611 0.2835 0.5222
0.7692 0.2860 0.5385
0.7528 0.7140 0.9835
0.0000 0.5000 0.0000
0.5000 0.0000 0.5000
0.5000 0.0000 0.0000
0.0000 0.0000 0.0000
0.0000 0.0000 0.5000
```

Results
For the total magnetic moment, the calculation gives 7.4 μB per cell. The value obtained for the formation energy from raw total energies is -0.711 eV per atom.

VASP calculation (GGA-PBE) on Ba2Li5Mg after structural relaxation.

The structure in POSCAR format:
```
Ba2Li5Mg
1.0
5.6655 -1.6723 -5.6695
-3.5250 7.0723 2.1432
-1.9879 2.4618 9.1110
Mg Li Ba
1 5 2
Direct
0.8448 0.9342 0.7791
0.1609 0.1158 0.2766
0.9696 0.3594 0.7774
0.5781 0.2461 0.2784
0.4180 0.8078 0.7774
0.0322 0.7003 0.2784
0.4603 0.3177 0.7780
0.5361 0.7417 0.2778
```

Results
For the total magnetic moment, the calculation gives 0.0 μB per cell. The energy of formation from the pure elements comes out at 37 meV/atom.

VASP calculation (GGA-PBE) on AgH3Pd3 after structural relaxation.

The structure in POSCAR format:
```
AgH3Pd3
1.0
5.2623 -0.7667 0.5263
0.3957 5.3031 0.5263
-0.9563 -0.7667 5.2014
Pd Ag H
6 2 6
Direct
0.1385 0.8170 0.3716
0.8615 0.1830 0.6284
0.6284 0.8615 0.1830
0.1830 0.6284 0.8615
0.8170 0.3716 0.1385
0.3716 0.1385 0.8170
0.3377 0.3377 0.3377
0.6623 0.6623 0.6623
0.6888 0.0985 0.9307
0.0693 0.3112 0.9015
0.0985 0.9307 0.6888
0.9015 0.0693 0.3112
0.9307 0.6888 0.0985
0.3112 0.9015 0.0693
```

Results
For the total magnetic moment, the calculation gives 0.0 μB per cell. As for the total energy: -4.116 eV per atom.

VASP calculation (GGA-PBE) on BaNi2Au after structural relaxation.

The structure in POSCAR format:
```
BaNi2Au
1.0
-1.7123 -1.0898 -4.2764
3.3103 -3.3507 -0.4716
-4.6655 -8.1390 1.3223
Ni Ba Au
4 2 2
Direct
0.8750 0.1250 0.7500
0.3750 0.1250 0.7500
0.8750 0.1250 0.2500
0.8750 0.6250 0.2500
0.5000 0.5000 0.0000
0.2500 0.7500 0.5000
0.0000 0.0000 0.0000
0.7500 0.2500 0.5000
```

Results
For the total magnetic moment, the calculation gives 1.6 μB per cell. The energy of formation from the pure elements comes out at -28 meV/atom.

VASP calculation (GGA-PBE) on Ca2ZrMn after structural relaxation.

The structure in POSCAR format:
```
Ca2ZrMn
1.0
9.1779 -0.0320 -0.0685
8.5790 3.2611 -0.0685
0.9114 0.1657 3.9149
Ca Mn Zr
2 1 1
Direct
0.5893 0.5893 0.4105
0.9107 0.9107 0.0895
0.2500 0.2500 0.2500
0.7500 0.7500 0.7500
```

Results
For the total magnetic moment, the calculation gives 1.7 μB per cell. The energy of formation from the pure elements comes out at 345 meV/atom.

VASP calculation (GGA-PBE) on BeIr3Pb after structural relaxation.

The structure in POSCAR format:
```
BeIr3Pb
1.0
-4.5026 2.0284 -0.4387
-0.8367 -0.8153 4.8182
1.8991 4.4498 1.0828
Pb Ir Be
1 3 1
Direct
0.0000 0.0000 0.0000
0.0000 0.5000 0.0000
0.0000 0.0000 0.5000
0.5000 0.0000 0.0000
0.5000 0.5000 0.5000
```

Results
For the total magnetic moment, the calculation gives 0.9 μB per cell. The energy of formation from the pure elements comes out at 2531 meV/atom.

VASP calculation (GGA-PBE) on TmNiBr after structural relaxation.

The structure in POSCAR format:
```
TmNiBr
1.0
-2.9486 2.1221 1.5432
-2.9716 1.2125 -2.2975
-7.5452 -8.2704 2.0038
Ni Tm Br
2 2 2
Direct
0.8370 0.8370 0.4891
0.1630 0.1630 0.5109
0.5535 0.5535 0.3394
0.4465 0.4465 0.6606
0.7236 0.7236 0.8292
0.2764 0.2764 0.1708
```

Results
For the total magnetic moment, the calculation gives 0.0 μB per cell. The value obtained for the formation energy from raw total energies is -1.096 eV per atom.

VASP calculation (GGA-PBE) on Sb2WAu after structural relaxation.

The structure in POSCAR format:
```
Sb2WAu
1.0
7.0564 0.0071 -0.0078
4.9309 5.0476 0.0078
-5.5924 -3.4789 2.5328
W Sb Au
1 2 1
Direct
0.5047 0.5047 0.0000
0.6962 0.1962 0.5000
0.9851 0.9851 0.0000
0.3139 0.8139 0.5000
```

Results
For the total magnetic moment, the calculation gives 0.0 μB per cell. The value obtained for the formation energy from raw total energies is 0.459 eV per atom.

VASP calculation (GGA-PBE) on Ba3Sn3Ir2 after structural relaxation.

The structure in POSCAR format:
```
Ba3Sn3Ir2
1.0
6.6046 0.0000 0.0000
0.0000 8.8878 0.0000
0.0000 0.0000 16.4129
Ba Ir Sn
12 8 12
Direct
0.4199 0.7021 0.7500
0.8909 0.5370 0.8919
0.3909 0.9630 0.3919
0.9199 0.7979 0.2500
0.3909 0.9630 0.1081
0.5801 0.2979 0.2500
0.1091 0.4630 0.3919
0.1091 0.4630 0.1081
0.6091 0.0370 0.6081
0.0801 0.2021 0.7500
0.8909 0.5370 0.6081
0.6091 0.0370 0.8919
0.3763 0.3685 0.9045
0.3763 0.3685 0.5955
0.8763 0.1315 0.4045
0.1237 0.8685 0.9045
0.6237 0.6315 0.4045
0.1237 0.8685 0.5955
0.8763 0.1315 0.0955
0.6237 0.6315 0.0955
0.6081 0.3414 0.4584
0.9465 0.8427 0.7500
0.3919 0.6586 0.5416
0.6081 0.3414 0.0416
0.0535 0.1573 0.2500
0.8919 0.8414 0.0416
0.4465 0.6573 0.2500
0.8919 0.8414 0.4584
0.5535 0.3427 0.7500
0.3919 0.6586 0.9584
0.1081 0.1586 0.5416
0.1081 0.1586 0.9584
```

Results
For the total magnetic moment, the calculation gives 0.0 μB per cell. The energy of formation from the pure elements comes out at -442 meV/atom.